Entry 1:
Below is a relaxed HoAl11Co crystal, with properties calculated at the PBE level.

abc: 6.771 6.771 7.131
angles: 96.87 96.87 135.58
Fractional positions:
Ho 0.000 0.000 0.000
Al 0.000 0.000 0.500
Al 0.000 0.500 0.000
Al 0.016 0.361 0.361
Al 0.286 0.500 0.770
Al 0.361 0.016 0.361
Al 0.500 0.000 0.000
Al 0.500 0.286 0.770
Al 0.500 0.714 0.230
Al 0.639 0.984 0.639
Al 0.714 0.500 0.230
Al 0.984 0.639 0.639
Co 0.500 0.500 0.500

Values from the calculation:
The value obtained for the electronic total energy is -4.26 eV per atom. Its density of states at the Fermi level is 0.380 states/eV/atom. The mass density is 3.98 g/cm3.

---

Entry 2:
Below is a relaxed HfAlNO2 crystal, with properties calculated at the PBE level.

abc: 3.532 3.532 3.915
angles: 90.00 90.00 90.00
Fractional positions:
Hf 0.000 0.000 0.000
Al 0.500 0.500 0.500
N 0.500 0.500 0.000
O 0.000 0.500 0.500
O 0.500 0.000 0.500

Values from the calculation:
As for the uncorrected formation energy: -1.937 eV per atom. Its density of states at the Fermi level is 0.088 states/eV/atom. The mass density is 8.55 g/cm3.

---

Entry 3:
Below is a relaxed As2Ru crystal, with properties calculated at the PBE level.

abc: 5.276 5.276 5.276
angles: 60.00 60.00 60.00
Fractional positions:
As 0.000 0.000 0.000
As 0.000 0.000 0.500
As 0.000 0.500 0.000
As 0.500 0.000 0.000
Ru 0.375 0.375 0.375
Ru 0.625 0.625 0.625

Values from the calculation:
The value obtained for the electronic total energy is -5.24 eV per atom. Its density of states at the Fermi level is 1.210 states/eV/atom. The mass density is 8.03 g/cm3.

---

Entry 4:
Below is a relaxed KCuF4 crystal, with properties calculated at the PBE level.

abc: 5.845 4.859 7.120
angles: 90.00 110.14 90.00
Fractional positions:
K 0.000 0.000 0.000
K 0.000 0.500 0.500
Cu 0.500 0.000 0.500
Cu 0.500 0.500 0.000
F 0.174 0.001 0.402
F 0.174 0.499 0.902
F 0.497 0.209 0.153
F 0.497 0.291 0.653
F 0.503 0.709 0.347
F 0.503 0.791 0.847
F 0.826 0.501 0.098
F 0.826 0.999 0.598

Values from the calculation:
As for the uncorrected formation energy: -1.948 eV per atom. The mass density is 3.12 g/cm3.

---

Entry 5:
Below is a relaxed CaZrNi2 crystal, with properties calculated at the PBE level.

abc: 5.941 5.941 5.941
angles: 106.06 106.06 116.52
Fractional positions:
Ca 0.000 0.000 0.000
Ca 0.750 0.250 0.500
Zr 0.250 0.750 0.500
Zr 0.500 0.500 0.000
Ni 0.157 0.625 0.032
Ni 0.375 0.407 0.532
Ni 0.593 0.125 0.968
Ni 0.875 0.843 0.468

Values from the calculation:
The value obtained for the electronic total energy is -5.27 eV per atom. Its density of states at the Fermi level is 0.860 states/eV/atom. The mass density is 5.18 g/cm3.

---

Entry 6:
Below is a relaxed CaAc2Hg4 crystal, with properties calculated at the PBE level.

abc: 9.813 9.813 9.813
angles: 31.87 31.87 31.87
Fractional positions:
Ca 0.000 0.000 0.000
Ac 0.246 0.246 0.246
Ac 0.754 0.754 0.754
Hg 0.127 0.127 0.127
Hg 0.369 0.369 0.369
Hg 0.631 0.631 0.631
Hg 0.873 0.873 0.873

Values from the calculation:
Its density of states at the Fermi level is 0.722 states/eV/atom. The mass density is 9.20 g/cm3. The distance to the lowest polymorph of the same formula is 0.000 eV/f.u.